No. 1
EuDy2Ru | PBE-GGA | relaxed

a = 3.4418 Å, b = 3.4418 Å, c = 9.4827 Å
α = 90.00°, β = 90.00°, γ = 90.00°
Sites, in units of the cell vectors:
Eu 0.0000 0.0000 0.0000
Dy 0.5000 0.5000 0.3273
Dy 0.5000 0.5000 0.6727
Ru 0.0000 0.0000 0.5000

Output
The value obtained for the energy relative to the elements is -0.219 eV per atom. The final energy is -0.54443 Ry per atom. The energy relative to the lowest polymorph listed for this composition is 0.0 kJ per mole of atoms. Its space group is P4/mmm.

=====

No. 2
Ca2TlHg3 | PBE-GGA | relaxed

a = 10.0853 Å, b = 9.4561 Å, c = 6.2171 Å
α = 77.05°, β = 66.03°, γ = 36.92°
Sites, in units of the cell vectors:
Ca 0.2475 0.7525 0.7525
Ca 0.2500 0.2500 0.2500
Ca 0.7500 0.7500 0.7500
Ca 0.7525 0.2475 0.2475
Tl 0.3333 0.3333 0.6667
Tl 0.6667 0.6667 0.3333
Hg 0.1654 0.1654 0.8346
Hg 0.1654 0.6693 0.3307
Hg 0.3307 0.8346 0.1654
Hg 0.6693 0.1654 0.8346
Hg 0.8346 0.3307 0.6693
Hg 0.8346 0.8346 0.1654

Output
The value obtained for the energy relative to the elements is -0.409 eV per atom. The final energy is -0.11915 Ry per atom. The energy relative to the lowest polymorph listed for this composition is 0.0 kJ per mole of atoms. Its space group is Fmmm.

=====

no.,volume (Å³ per cell),total magnetization (μB/cell)
1,112.33,7.50
2,319.96,0.00